# 1
CeCdAg | PBE | optimized geometry

Geometry as POSCAR:
```
CeCdAg
1.0
-1.6060 1.6060 6.6163
1.6060 -1.6060 6.6163
1.6060 1.6060 -6.6163
Ce Cd Ag
1 1 1
direct
0.0000 0.0000 0.0000 Ce
0.3129 0.3129 0.0000 Cd
0.6724 0.6724 0.0000 Ag
```

Output
Crystal system ... tetragonal
Total magnetization ... 0.43 μB/f.u.
Energy relative to the elements ... -0.36 eV per formula unit


# 2
Tb3Pm2Er2 | PBE | optimized geometry

Geometry as POSCAR:
```
Tb3Pm2Er2
1.0
3.5694 0.0000 0.0000
1.7784 5.9038 0.0000
0.0080 1.0800 10.6758
Tb Pm Er
3 2 2
direct
0.0000 0.0000 0.0000 Tb
0.1423 0.7149 0.5703 Tb
0.8577 0.2851 0.4297 Tb
0.2857 0.4300 0.1445 Pm
0.7143 0.5700 0.8555 Pm
0.4292 0.1413 0.7121 Er
0.5708 0.8587 0.2879 Er
```

Output
Crystal system ... triclinic
Total magnetization ... 0.00 μB/f.u.
ΔE to the lowest computed polymorph ... 0.000 eV/atom
Energy relative to the elements ... 0.12 eV per formula unit


# 3
La2SmY6Th3 | PBE | optimized geometry

Geometry as POSCAR:
```
La2SmY6Th3
1.0
3.1311 -5.4243 0.0000
3.1311 5.4243 0.0000
-2.0950 0.0000 11.6505
La Sm Y Th
2 1 6 3
direct
0.1662 0.8338 0.0000 La
0.8338 0.1662 0.0000 La
0.5000 0.5000 0.0000 Sm
0.0817 0.4142 0.7423 Y
0.2533 0.2533 0.2579 Y
0.4142 0.0817 0.7423 Y
0.5858 0.9183 0.2577 Y
0.7467 0.7467 0.7421 Y
0.9183 0.5858 0.2577 Y
0.0000 0.0000 0.5000 Th
0.3331 0.6669 0.5000 Th
0.6669 0.3331 0.5000 Th
```

Output
Crystal system ... monoclinic
Total magnetization ... 0.00 μB/f.u.
Energy relative to the elements ... 0.23 eV per formula unit


# 4
LiLuAlOs | PBE | optimized geometry

Geometry as POSCAR:
```
LiLuAlOs
1.0
0.0000 3.2241 3.2241
3.2241 0.0000 3.2241
3.2241 3.2241 0.0000
Li Lu Al Os
1 1 1 1
direct
0.0000 0.0000 0.0000 Li
0.7500 0.7500 0.7500 Lu
0.2500 0.2500 0.2500 Al
0.5000 0.5000 0.5000 Os
```

Output
Crystal system ... cubic
Total magnetization ... 0.00 μB/f.u.
Energy relative to the elements ... -1.18 eV per formula unit


# 5
InSb3I | PBE | optimized geometry

Geometry as POSCAR:
```
InSb3I
1.0
5.6798 0.0000 0.0000
0.0000 5.6798 0.0000
0.0000 0.0000 5.6798
In Sb I
1 3 1
direct
0.0000 0.0000 0.0000 In
0.0000 0.0000 0.5000 Sb
0.0000 0.5000 0.0000 Sb
0.5000 0.0000 0.0000 Sb
0.5000 0.5000 0.5000 I
```

Output
Crystal system ... cubic
Total magnetization ... 0.00 μB/f.u.
ΔE to the lowest computed polymorph ... 0.000 eV/atom
Energy relative to the elements, uncorrected ... 0.707 eV per atom


# 6
Ho2TmAl2Zn2 | PBE | optimized geometry

Geometry as POSCAR:
```
Ho2TmAl2Zn2
1.0
2.2430 1.2950 8.9393
-2.2430 1.2950 8.9393
0.0000 -2.5899 8.9393
Ho Tm Al Zn
2 1 2 2
direct
0.1269 0.1269 0.1269 Ho
0.8731 0.8731 0.8731 Ho
0.0000 0.0000 0.0000 Tm
0.2649 0.2649 0.2649 Al
0.7351 0.7351 0.7351 Al
0.3961 0.3961 0.3961 Zn
0.6039 0.6039 0.6039 Zn
```

Output
Crystal system ... trigonal
Total magnetization ... 0.00 μB/f.u.
Energy relative to the elements ... -2.12 eV per formula unit